A geometry-optimized Ca4Te3Se structure, computed with PBE.

Cell lengths 4.445, 7.706, 7.706 Å; angles 109.43, 90.00, 90.00 degrees
Fractional positions:
Ca  0.000  0.761  0.761
Ca  0.500  0.244  0.756
Ca  0.500  0.756  0.244
Ca  0.000  0.239  0.239
Te  0.000  0.500  0.000
Te  0.000  0.000  0.500
Te  0.500  0.500  0.500
Se  0.500  0.000  0.000

Output
* formation energy (no corrections): -1.73 eV/atom
* size of the total moment: 0.00 μB per cell
* final energy: -34.7 eV/cell